Material: CdOs2Rh
Method: DFT, PBE-GGA
State: optimized geometry

Cell lengths 4.923, 4.923, 4.793 Å; angles 99.75, 99.75, 32.75 degrees
Sites, in units of the cell vectors:
1 Cd 0.000 0.000 0.000
2 Os 0.238 0.238 0.730
3 Os 0.762 0.762 0.270
4 Rh 0.500 0.500 0.500

## Properties
Energy of formation from the pure elements, meV per atom: 380